No. 1
This record from the Alexandria database describes MoSe2Br after structural relaxation. The functional is PBE.

Cell: 6.6345 6.6345 6.6345 Å, 152.87 132.65 55.42°
Last column: magnetic moment on the atom in μB.
Atoms (fractional coordinates):
Br 0.7500 0.2500 0.5000  -0.07
Mo 0.2500 0.7500 0.5000  0.76
Se 0.0818 0.0818 0.0000  -0.04
Se 0.4182 0.4182 0.0000  -0.04

Computed properties:
The value obtained for the distance to the lowest polymorph of the same formula is 386 meV/atom.


No. 2
This record from the Alexandria database describes Cs2BeIrCl6 after structural relaxation. The functional is PBE.

Cell: 6.7520 6.7520 7.4594 Å, 63.09 63.09 90.00°
Atoms (fractional coordinates):
Cs 0.7500 0.2500 0.5000
Cs 0.2500 0.7500 0.5000
Be 0.5000 0.5000 0.0000
Ir 0.0000 0.0000 0.0000
Cl 0.2070 0.2070 0.5860
Cl 0.7930 0.7930 0.4140
Cl 0.2684 0.2684 0.0000
Cl 0.7316 0.7316 0.0000
Cl 0.7316 0.2684 0.0000
Cl 0.2684 0.7316 0.0000


No. 3
This record from the Alexandria database describes Sr4CuIr2O9 after structural relaxation. The functional is PBE.

Cell: 8.0560 9.8025 9.8575 Å, 119.59 90.19 89.96°
Last column: magnetic moment on the atom in μB.
Atoms (fractional coordinates):
Sr 0.2545 0.6940 0.6661  0.00
Sr 0.2506 0.3295 0.0235  0.00
Sr 0.2533 0.9913 0.3245  0.00
Sr 0.7542 0.0273 0.3389  0.00
Sr 0.7437 0.6716 0.6933  0.00
Sr 0.7430 0.3154 0.9882  0.00
Sr 0.0007 0.0041 0.6787  0.00
Sr 0.9986 0.3196 0.3202  0.00
Sr 0.0003 0.6761 0.0049  0.00
Sr 0.4957 0.0087 0.6533  0.00
Sr 0.5007 0.3589 0.3586  0.00
Sr 0.5057 0.6427 0.0102  0.00
Cu 0.5007 0.0012 0.0636  0.47
Cu 0.7326 0.7292 0.3921  0.48
Cu 0.2672 0.3946 0.7323  0.47
Ir 0.0786 0.6592 0.3282  0.06
Ir 0.9206 0.3334 0.6638  0.06
Ir 0.1568 0.9966 0.9955  0.09
Ir 0.8441 0.9960 0.9939  0.08
Ir 0.3899 0.6634 0.3324  0.04
Ir 0.6095 0.3354 0.6658  0.04
O 0.3083 0.1555 0.1641  0.09
O 0.3140 0.8419 0.0042  0.09
O 0.2898 0.0046 0.8312  0.01
O 0.7093 0.9961 0.8262  0.01
O 0.6930 0.1594 0.1584  0.09
O 0.6876 0.8433 0.0070  0.09
O 0.2376 0.6392 0.1505  0.00
O 0.2342 0.8482 0.4897  0.00
O 0.2369 0.5042 0.3562  0.00
O 0.7654 0.4949 0.8520  0.00
O 0.7623 0.1540 0.6417  0.00
O 0.7622 0.3599 0.5080  0.00
O 0.0446 0.1784 0.4842  0.00
O 0.0784 0.5027 0.6923  0.11
O 0.0809 0.3114 0.8054  0.11
O 0.9225 0.6860 0.4969  0.11
O 0.9528 0.4797 0.1748  0.00
O 0.9179 0.8008 0.3060  0.11
O 0.4733 0.1779 0.4882  0.00
O 0.4556 0.5107 0.6926  0.08
O 0.4567 0.3203 0.8203  0.08
O 0.5423 0.6893 0.5079  0.08
O 0.5265 0.4842 0.1757  0.00
O 0.5453 0.8179 0.3193  0.08
O 0.0017 0.9895 0.1610  0.00
O 0.0008 0.8310 0.8289  0.01
O 0.9988 0.1582 0.9869  0.00


In the order shown, the computed V values come out to 97.4 261.3 676.9 Å³/cell.
In the order shown, the computed raw formation energy values come out to 0.105 -1.013 -1.802 eV/atom.